Entry 1:
# CrCd2Se PBE-GGA relaxed
data_CrCd2Se
_symmetry_space_group_name_H-M 'C 1 m 1'
_symmetry_Int_Tables_number 8
_symmetry_space_group_name_Hall 'C -2y'
_cell_length_a 8.377
_cell_length_b 3.446
_cell_length_c 6.896
_cell_angle_alpha 90.00
_cell_angle_beta 108.02
_cell_angle_gamma 90.00
loop_
_atom_site_label
_atom_site_type_symbol
_atom_site_fract_x
_atom_site_fract_y
_atom_site_fract_z
_atom_site_occupancy
Cr1 Cr 0.000 0.000 0.000 1
Cd1 Cd 0.190 0.500 0.343 1
Cd2 Cd 0.469 0.000 0.615 1
Se1 Se 0.284 0.000 0.960 1
# Raw total energy in Ry/atom: -0.268

Entry 2:
# GaAgPb PBE-GGA relaxed
data_GaAgPb
_symmetry_space_group_name_H-M 'C 1 2/m 1'
_symmetry_Int_Tables_number 12
_symmetry_space_group_name_Hall '-C 2y'
_cell_length_a 10.940
_cell_length_b 4.556
_cell_length_c 7.505
_cell_angle_alpha 90.00
_cell_angle_beta 132.45
_cell_angle_gamma 90.00
loop_
_atom_site_label
_atom_site_type_symbol
_atom_site_fract_x
_atom_site_fract_y
_atom_site_fract_z
_atom_site_occupancy
Ga1 Ga 0.153 0.000 0.086 1
Ag1 Ag 0.170 0.000 0.730 1
Pb1 Pb 0.064 0.500 0.326 1
# Energy of formation in eV per atom: 0.052
# Raw total energy in Ry/atom: -0.231

Entry 3:
# ZrFeReMo2 PBE-GGA relaxed
data_ZrFeReMo2
_symmetry_space_group_name_H-M 'P 4/m m m'
_symmetry_Int_Tables_number 123
_symmetry_space_group_name_Hall '-P 4 2'
_cell_length_a 4.468
_cell_length_b 4.468
_cell_length_c 4.513
_cell_angle_alpha 90.00
_cell_angle_beta 90.00
_cell_angle_gamma 90.00
loop_
_atom_site_label
_atom_site_type_symbol
_atom_site_fract_x
_atom_site_fract_y
_atom_site_fract_z
_atom_site_occupancy
Zr1 Zr 0.000 0.000 0.000 1
Fe1 Fe 0.500 0.500 0.500 1
Re1 Re 0.500 0.500 0.000 1
Mo1 Mo 0.000 0.500 0.500 1
# Energy of formation in eV per atom: 0.819
# Raw total energy in Ry/atom: -0.691

Entry 4:
# Cs6Rb8Pt PBE-GGA relaxed
data_Cs6Rb8Pt
_symmetry_space_group_name_H-M 'R -3'
_symmetry_Int_Tables_number 148
_symmetry_space_group_name_Hall '-R 3'
_cell_length_a 13.6667
_cell_length_b 13.6667
_cell_length_c 25.2225
_cell_angle_alpha 90.00
_cell_angle_beta 90.00
_cell_angle_gamma 120.00
loop_
_atom_site_label
_atom_site_type_symbol
_atom_site_fract_x
_atom_site_fract_y
_atom_site_fract_z
_atom_site_occupancy
Cs1 Cs 0.0428 0.2436 0.4155 1
Rb1 Rb 0.0000 0.0000 0.2446 1
Rb2 Rb 0.0487 0.2158 0.9234 1
Pt1 Pt 0.0000 0.0000 0.0000 1
# Energy of formation in eV per atom: 0.017
# Raw total energy in Ry/atom: -0.091